# 1
## GdTlIn2 (PBE-GGA)

Data for GdTlIn2 after structural relaxation.

Properties
The distance to the lowest polymorph of the same formula is 0.230 eV per atom. The calculation puts the total energy at -5.62 eV per atom. Its total magnetization is 7.23 μB per formula unit. The calculation puts the density of states at the Fermi level at 15.03 states/eV/cell. The value obtained for the volume is 27.794 A^3/atom. The calculation puts the formation energy at -0.139 eV per atom.

a = 7.633 Å, b = 7.633 Å, c = 7.633 Å
α = 90.00°, β = 90.00°, γ = 90.00°
Space group Fm-3m (No. 225)
One atom of each set of equivalent atoms:
Gd 0.000 0.000 0.000 x4
Tl 0.000 0.000 0.500 x4
In 0.250 0.250 0.250 x8

***

# 2
## Si3C (PBE-GGA)

Data for Si3C after structural relaxation.

Properties
The distance to the lowest polymorph of the same formula is 1.200 eV per atom. The calculation puts the total energy at -5.00 eV per atom. The uncorrected formation energy is 1377 meV per atom. Its total magnetization is 0.00 μB per formula unit. The calculation puts the density of states at the Fermi level at 2.13 states/eV/cell. The value obtained for the volume is 12.220 A^3/atom.

a = 3.990 Å, b = 3.990 Å, c = 3.070 Å
α = 90.00°, β = 90.00°, γ = 90.00°
Space group P4/mmm (No. 123)
One atom of each set of equivalent atoms:
Si 0.000 0.000 0.000 x1
Si 0.000 0.500 0.500 x2
C 0.500 0.500 0.000 x1

***

# 3
## BaZnSi2 (PBE-GGA)

Data for BaZnSi2 after structural relaxation.

Properties
The calculation puts the total energy at -3.45 eV per atom. The uncorrected formation energy is 62 meV per atom. Its total magnetization is 0.00 μB per formula unit. The calculation puts the density of states at the Fermi level at 2.05 states/eV/cell. The value obtained for the volume is 22.412 A^3/atom.

a = 3.515 Å, b = 3.515 Å, c = 7.254 Å
α = 90.00°, β = 90.00°, γ = 90.00°
Space group P4mm (No. 99)
One atom of each set of equivalent atoms:
Ba 0.000 0.000 0.000 x1
Zn 0.500 0.500 0.678 x1
Si 0.000 0.000 0.472 x1
Si 0.500 0.500 0.333 x1

***

# 4
## LiU2In2S6 (PBE-GGA)

Data for LiU2In2S6 after structural relaxation.

Properties
The calculation puts the total energy at -6.03 eV per atom. The uncorrected formation energy is -1049 meV per atom. Its total magnetization is 3.00 μB per formula unit. The calculation puts the density of states at the Fermi level at 22.96 states/eV/cell. The value obtained for the volume is 27.341 A^3/atom.

a = 6.771 Å, b = 12.021 Å, c = 7.653 Å
α = 90.00°, β = 105.09°, γ = 90.00°
Space group C2/m (No. 12)
One atom of each set of equivalent atoms:
Li 0.000 0.000 0.000 x2
U 0.000 0.336 0.000 x4
In 0.000 0.154 0.500 x4
S 0.223 0.500 0.183 x4
S 0.238 0.184 0.204 x8

***

# 5
## Ta2FeNi (PBE-GGA)

Data for Ta2FeNi after structural relaxation.

Properties
The calculation puts the total energy at -9.59 eV per atom. Its total magnetization is 0.00 μB per formula unit. The calculation puts the density of states at the Fermi level at 8.52 states/eV/cell. The value obtained for the volume is 14.355 A^3/atom. The calculation puts the formation energy at -0.102 eV per atom.

a = 5.686 Å, b = 6.851 Å, c = 2.948 Å
α = 90.00°, β = 90.00°, γ = 90.00°
Space group Cmmm (No. 65)
One atom of each set of equivalent atoms:
Ta 0.250 0.250 0.000 x4
Fe 0.000 0.000 0.500 x2
Ni 0.000 0.500 0.500 x2

***

# 6
## CaMnI4 (PBE-GGA)

Data for CaMnI4 after structural relaxation.

Properties
The calculation puts the total energy at -3.91 eV per atom. The uncorrected formation energy is -1012 meV per atom. Its total magnetization is 5.00 μB per formula unit. The calculation puts the density of states at the Fermi level at 0.00 states/eV/cell. The value obtained for the volume is 41.554 A^3/atom.

a = 16.978 Å, b = 4.320 Å, c = 7.596 Å
α = 90.00°, β = 116.50°, γ = 90.00°
Space group C2/m (No. 12)
One atom of each set of equivalent atoms:
Ca 0.000 0.000 0.000 x2
Mn 0.000 0.500 0.500 x2
I 0.110 0.000 0.758 x4
I 0.115 0.500 0.302 x4